(1)
The following is a DFT calculation (PBE) of a relaxed Ba4Na2N crystal.

Geometry as CIF:
```
data_Ba4Na2N
_space_group_name_H-M_alt 'P 1'
_space_group_IT_number 1
_cell_length_a 7.842
_cell_length_b 8.561
_cell_length_c 11.520
_cell_angle_alpha 90.00
_cell_angle_beta 110.62
_cell_angle_gamma 90.00
loop_
_space_group_symop_operation_xyz
'x,y,z'
loop_
_atom_site_label
_atom_site_fract_x
_atom_site_fract_y
_atom_site_fract_z
N1 0.327 0.750 0.214
N2 0.673 0.250 0.786
Ba1 0.474 0.487 0.720
Ba2 0.526 0.513 0.280
Ba3 0.881 0.250 0.662
Ba4 0.846 0.250 0.018
Ba5 0.526 0.987 0.280
Ba6 0.154 0.750 0.982
Ba7 0.119 0.750 0.338
Ba8 0.474 0.013 0.720
Na1 0.676 0.750 0.030
Na2 0.324 0.250 0.970
Na3 0.140 0.250 0.396
Na4 0.860 0.750 0.604
```

- magnetization (μB/f.u.) = 0.0
- uncorrected formation energy (meV/atom) = -176.5
- SG = P2_1/m, No. 11
- crystal system = monoclinic
- energy above the lowest structure with this stoichiometry (eV/atom) = 0.0008

---

(2)
The following is a DFT calculation (PBE) of a relaxed GeS3Cl crystal.

Geometry as CIF:
```
data_GeS3Cl
_space_group_name_H-M_alt 'P 1'
_space_group_IT_number 1
_cell_length_a 4.687
_cell_length_b 4.687
_cell_length_c 4.687
_cell_angle_alpha 90.00
_cell_angle_beta 90.00
_cell_angle_gamma 90.00
loop_
_space_group_symop_operation_xyz
'x,y,z'
loop_
_atom_site_label
_atom_site_fract_x
_atom_site_fract_y
_atom_site_fract_z
S1 0.500 0.000 0.000
S2 0.000 0.000 0.500
S3 0.000 0.500 0.000
Ge1 0.500 0.500 0.500
Cl1 0.000 0.000 0.000
```

- magnetization (μB/f.u.) = 0.0
- uncorrected formation energy (meV/atom) = 960.6
- SG = Pm-3m, No. 221
- crystal system = cubic

---

(3)
The following is a DFT calculation (PBE) of a relaxed ScP crystal.

Geometry as CIF:
```
data_ScP
_space_group_name_H-M_alt 'P 1'
_space_group_IT_number 1
_cell_length_a 8.911
_cell_length_b 8.911
_cell_length_c 5.221
_cell_angle_alpha 90.00
_cell_angle_beta 90.00
_cell_angle_gamma 90.00
loop_
_space_group_symop_operation_xyz
'x,y,z'
loop_
_atom_site_label
_atom_site_fract_x
_atom_site_fract_y
_atom_site_fract_z
Sc1 0.357 0.143 0.000
Sc2 0.143 0.643 0.000
Sc3 0.357 0.857 0.500
Sc4 0.643 0.857 0.000
Sc5 0.857 0.643 0.500
Sc6 0.857 0.357 0.000
Sc7 0.143 0.357 0.500
Sc8 0.643 0.143 0.500
P1 0.350 0.150 0.500
P2 0.850 0.650 0.000
P3 0.350 0.850 0.000
P4 0.650 0.850 0.500
P5 0.150 0.650 0.500
P6 0.850 0.350 0.500
P7 0.650 0.150 0.000
P8 0.150 0.350 0.000
```

- calculated formation energy (kJ/mol of formula units) = -237
- magnetization (μB/f.u.) = 0.0
- SG = I4/mcm, No. 140
- crystal system = tetragonal

---

(4)
The following is a DFT calculation (PBE) of a relaxed Mg2BiPd4Pb crystal.

Geometry as CIF:
```
data_Mg2BiPd4Pb
_space_group_name_H-M_alt 'P 1'
_space_group_IT_number 1
_cell_length_a 4.715
_cell_length_b 4.715
_cell_length_c 8.189
_cell_angle_alpha 73.27
_cell_angle_beta 73.27
_cell_angle_gamma 60.00
loop_
_space_group_symop_operation_xyz
'x,y,z'
loop_
_atom_site_label
_atom_site_fract_x
_atom_site_fract_y
_atom_site_fract_z
Pd1 0.875 0.875 0.374
Pd2 0.625 0.625 0.124
Pd3 0.125 0.125 0.626
Pd4 0.375 0.375 0.876
Bi1 0.500 0.500 0.500
Mg1 0.251 0.251 0.247
Mg2 0.749 0.749 0.753
Pb1 0.000 0.000 0.000
```

- calculated formation energy (kJ/mol of formula units) = -362
- magnetization (μB/f.u.) = 0.0
- SG = R-3m, No. 166
- crystal system = trigonal

---

(5)
The following is a DFT calculation (PBE) of a relaxed BaTh2MnN5 crystal.

Geometry as CIF:
```
data_BaTh2MnN5
_space_group_name_H-M_alt 'P 1'
_space_group_IT_number 1
_cell_length_a 6.969
_cell_length_b 6.969
_cell_length_c 7.499
_cell_angle_alpha 117.69
_cell_angle_beta 117.69
_cell_angle_gamma 90.00
loop_
_space_group_symop_operation_xyz
'x,y,z'
loop_
_atom_site_label
_atom_site_fract_x
_atom_site_fract_y
_atom_site_fract_z
N1 0.500 0.500 0.000
N2 0.491 0.724 0.716
N3 0.991 0.491 0.716
N4 0.009 0.509 0.284
N5 0.000 0.000 0.000
N6 0.724 0.224 0.716
N7 0.276 0.776 0.284
N8 0.776 0.009 0.284
N9 0.224 0.991 0.716
N10 0.509 0.276 0.284
Ba1 0.250 0.250 0.500
Ba2 0.750 0.750 0.500
Th1 0.817 0.683 0.000
Th2 0.317 0.817 0.000
Th3 0.683 0.183 0.000
Th4 0.183 0.317 0.000
Mn1 0.250 0.750 0.500
Mn2 0.750 0.250 0.500
```

- magnetization (μB/f.u.) = 1.7
- uncorrected formation energy (meV/atom) = -1089.9
- SG = I4/mcm, No. 140
- crystal system = tetragonal

---

(6)
The following is a DFT calculation (PBE) of a relaxed NdDyY6 crystal.

Geometry as CIF:
```
data_NdDyY6
_space_group_name_H-M_alt 'P 1'
_space_group_IT_number 1
_cell_length_a 6.804
_cell_length_b 6.576
_cell_length_c 7.017
_cell_angle_alpha 76.79
_cell_angle_beta 60.65
_cell_angle_gamma 89.84
loop_
_space_group_symop_operation_xyz
'x,y,z'
loop_
_atom_site_label
_atom_site_fract_x
_atom_site_fract_y
_atom_site_fract_z
Y1 0.544 0.748 0.002
Y2 0.571 0.729 0.524
Y3 0.429 0.271 0.476
Y4 0.456 0.252 0.998
Y5 0.907 0.233 0.516
Y6 0.093 0.767 0.484
Dy1 0.000 0.500 0.000
Nd1 0.000 0.000 0.000
```

- calculated formation energy (kJ/mol of formula units) = 156
- magnetization (μB/f.u.) = 0.0
- SG = P-1, No. 2
- crystal system = triclinic
- energy above the lowest structure with this stoichiometry (eV/atom) = 0.0511

---

(7)
The following is a DFT calculation (PBE) of a relaxed SrY2Pb crystal.

Geometry as CIF:
```
data_SrY2Pb
_space_group_name_H-M_alt 'P 1'
_space_group_IT_number 1
_cell_length_a 3.702
_cell_length_b 3.702
_cell_length_c 10.212
_cell_angle_alpha 90.00
_cell_angle_beta 90.00
_cell_angle_gamma 90.12
loop_
_space_group_symop_operation_xyz
'x,y,z'
loop_
_atom_site_label
_atom_site_fract_x
_atom_site_fract_y
_atom_site_fract_z
Pb1 0.500 0.500 0.250
Sr1 0.500 0.500 0.750
Y1 0.000 0.000 0.051
Y2 0.000 0.000 0.449
```

- calculated formation energy (kJ/mol of formula units) = -46
- magnetization (μB/f.u.) = 0.0
- SG = Cmmm, No. 65
- crystal system = orthorhombic

---

(8)
The following is a DFT calculation (PBE) of a relaxed FeAgOs2 crystal.

Geometry as CIF:
```
data_FeAgOs2
_space_group_name_H-M_alt 'P 1'
_space_group_IT_number 1
_cell_length_a 2.678
_cell_length_b 2.678
_cell_length_c 7.959
_cell_angle_alpha 90.00
_cell_angle_beta 90.00
_cell_angle_gamma 90.00
loop_
_space_group_symop_operation_xyz
'x,y,z'
loop_
_atom_site_label
_atom_site_fract_x
_atom_site_fract_y
_atom_site_fract_z
Os1 0.000 0.000 0.969
Os2 0.000 0.000 0.531
Fe1 0.500 0.500 0.750
Ag1 0.500 0.500 0.250
```

- calculated formation energy (kJ/mol of formula units) = 197
- magnetization (μB/f.u.) = 1.0
- SG = P4/mmm, No. 123
- crystal system = tetragonal
- energy above the lowest structure with this stoichiometry (eV/atom) = 0.1628

---

(9)
The following is a DFT calculation (PBE) of a relaxed PrNb3O9 crystal.

Geometry as CIF:
```
data_PrNb3O9
_space_group_name_H-M_alt 'P 1'
_space_group_IT_number 1
_cell_length_a 5.443
_cell_length_b 7.746
_cell_length_c 16.664
_cell_angle_alpha 90.00
_cell_angle_beta 92.09
_cell_angle_gamma 90.00
loop_
_space_group_symop_operation_xyz
'x,y,z'
loop_
_atom_site_label
_atom_site_fract_x
_atom_site_fract_y
_atom_site_fract_z
O1 0.737 0.462 0.017
O2 0.150 0.553 0.144
O3 0.320 0.947 0.310
O4 0.316 0.548 0.312
O5 0.150 0.947 0.644
O6 0.439 0.249 0.405
O7 0.263 0.962 0.483
O8 0.845 0.438 0.356
O9 0.320 0.553 0.810
O10 0.561 0.751 0.595
O11 0.680 0.447 0.190
O12 0.904 0.745 0.259
O13 0.316 0.952 0.812
O14 0.561 0.749 0.095
O15 0.649 0.752 0.419
O16 0.155 0.938 0.144
O17 0.680 0.053 0.690
O18 0.845 0.062 0.856
O19 0.904 0.755 0.759
O20 0.737 0.038 0.517
O21 0.850 0.447 0.856
O22 0.096 0.245 0.241
O23 0.264 0.536 0.483
O24 0.351 0.252 0.081
O25 0.351 0.248 0.581
O26 0.439 0.251 0.905
O27 0.096 0.255 0.741
O28 0.736 0.464 0.517
O29 0.155 0.562 0.644
O30 0.263 0.538 0.983
O31 0.264 0.964 0.983
O32 0.684 0.048 0.188
O33 0.649 0.748 0.919
O34 0.684 0.452 0.688
O35 0.850 0.053 0.356
O36 0.736 0.036 0.017
Pr1 0.967 0.750 0.033
Pr2 0.033 0.250 0.467
Pr3 0.967 0.750 0.533
Pr4 0.033 0.250 0.967
Nb1 0.529 0.980 0.900
Nb2 0.471 0.020 0.100
Nb3 0.481 0.503 0.100
Nb4 0.529 0.520 0.400
Nb5 0.471 0.480 0.600
Nb6 0.991 0.530 0.751
Nb7 0.009 0.030 0.749
Nb8 0.519 0.497 0.900
Nb9 0.519 0.003 0.400
Nb10 0.481 0.997 0.600
Nb11 0.991 0.970 0.251
Nb12 0.009 0.470 0.249
```

- magnetization (μB/f.u.) = 0.0
- uncorrected formation energy (meV/atom) = -2768.4
- SG = P2_1/c, No. 14
- crystal system = monoclinic
- energy above the lowest structure with this stoichiometry (eV/atom) = 0.0000

---

(10)
The following is a DFT calculation (PBE) of a relaxed B3AuI crystal.

Geometry as CIF:
```
data_B3AuI
_space_group_name_H-M_alt 'P 1'
_space_group_IT_number 1
_cell_length_a 4.373
_cell_length_b 4.373
_cell_length_c 4.373
_cell_angle_alpha 90.00
_cell_angle_beta 90.00
_cell_angle_gamma 90.00
loop_
_space_group_symop_operation_xyz
'x,y,z'
loop_
_atom_site_label
_atom_site_fract_x
_atom_site_fract_y
_atom_site_fract_z
B1 0.500 0.000 0.000
B2 0.000 0.500 0.000
B3 0.000 0.000 0.500
I1 0.500 0.500 0.500
Au1 0.000 0.000 0.000
```

- magnetization (μB/f.u.) = 0.0
- uncorrected formation energy (meV/atom) = 1662.1
- SG = Pm-3m, No. 221
- crystal system = cubic
- energy above the lowest structure with this stoichiometry (eV/atom) = 0.0000

---

(11)
The following is a DFT calculation (PBE) of a relaxed Ca2Pr4Y5 crystal.

Geometry as CIF:
```
data_Ca2Pr4Y5
_space_group_name_H-M_alt 'P 1'
_space_group_IT_number 1
_cell_length_a 3.553
_cell_length_b 11.843
_cell_length_c 9.223
_cell_angle_alpha 89.42
_cell_angle_beta 90.00
_cell_angle_gamma 90.00
loop_
_space_group_symop_operation_xyz
'x,y,z'
loop_
_atom_site_label
_atom_site_fract_x
_atom_site_fract_y
_atom_site_fract_z
Y1 0.000 0.500 0.000
Y2 0.000 0.413 0.360
Y3 0.000 0.587 0.640
Y4 0.000 0.934 0.162
Y5 0.000 0.066 0.838
Ca1 0.000 0.137 0.453
Ca2 0.000 0.863 0.547
Pr1 0.500 0.669 0.286
Pr2 0.500 0.225 0.108
Pr3 0.500 0.331 0.714
Pr4 0.500 0.775 0.892
```

- calculated formation energy (kJ/mol of formula units) = 105
- magnetization (μB/f.u.) = 0.0
- SG = P2/m, No. 10
- crystal system = monoclinic

---

(12)
The following is a DFT calculation (PBE) of a relaxed Ca2BiPbN crystal.

Geometry as CIF:
```
data_Ca2BiPbN
_space_group_name_H-M_alt 'P 1'
_space_group_IT_number 1
_cell_length_a 4.944
_cell_length_b 4.944
_cell_length_c 5.055
_cell_angle_alpha 90.00
_cell_angle_beta 90.00
_cell_angle_gamma 90.00
loop_
_space_group_symop_operation_xyz
'x,y,z'
loop_
_atom_site_label
_atom_site_fract_x
_atom_site_fract_y
_atom_site_fract_z
Bi1 0.500 0.500 0.500
N1 0.000 0.000 0.000
Ca1 0.500 0.000 0.000
Ca2 0.000 0.500 0.000
Pb1 0.000 0.000 0.500
```

- magnetization (μB/f.u.) = 0.0
- uncorrected formation energy (meV/atom) = -563.1
- SG = P4/mmm, No. 123
- crystal system = tetragonal